# 1
# PrSmIr (PBE-GGA, optimized geometry)
data_PrSmIr
_chemical_formula_sum 'Pr1 Sm1 Ir1'
_symmetry_space_group_name_H-M 'P 1'
_symmetry_Int_Tables_number 1
_cell_length_a 6.402
_cell_length_b 4.219
_cell_length_c 4.219
_cell_angle_alpha 120.00
_cell_angle_beta 90.00
_cell_angle_gamma 90.00
loop_
_symmetry_equiv_pos_as_xyz
'x,y,z'
loop_
_atom_site_label
_atom_site_type_symbol
_atom_site_fract_x
_atom_site_fract_y
_atom_site_fract_z
Ir1 Ir 0.004 0.000 0.000
Pr1 Pr 0.770 0.667 0.333
Sm1 Sm 0.226 0.333 0.667
# Excess energy over the best structure of this formula in the dataset in eV per formula unit: 0.161
# E_form in eV/atom: -0.48
# M_tot in μB per atom: 0.000
# N(E_F) in states/eV per cell: 2.14
# Calculated density in kg/m3: 8134
# Space-group type: P3m1
# Final energy in eV/atom: -6.60



# 2
# PrSmIr (PBE-GGA, optimized geometry)
data_PrSmIr
_chemical_formula_sum 'Pr1 Sm1 Ir1'
_symmetry_space_group_name_H-M 'P 1'
_symmetry_Int_Tables_number 1
_cell_length_a 3.574
_cell_length_b 3.574
_cell_length_c 7.145
_cell_angle_alpha 104.48
_cell_angle_beta 104.48
_cell_angle_gamma 90.00
loop_
_symmetry_equiv_pos_as_xyz
'x,y,z'
loop_
_atom_site_label
_atom_site_type_symbol
_atom_site_fract_x
_atom_site_fract_y
_atom_site_fract_z
Pr1 Pr 0.041 0.041 0.082
Ir1 Ir 0.670 0.670 0.339
Sm1 Sm 0.290 0.290 0.579
# Excess energy over the best structure of this formula in the dataset in eV per formula unit: 0.355
# E_form in eV/atom: -0.41
# M_tot in μB per atom: 0.000
# N(E_F) in states/eV per cell: 2.93
# Calculated density in kg/m3: 9402
# Space-group type: I4mm
# Final energy in eV/atom: -6.53



# 3
# PrSm4Ir4 (PBE-GGA, optimized geometry)
data_PrSm4Ir4
_chemical_formula_sum 'Pr2 Sm8 Ir8'
_symmetry_space_group_name_H-M 'P 1'
_symmetry_Int_Tables_number 1
_cell_length_a 5.767
_cell_length_b 9.080
_cell_length_c 9.080
_cell_angle_alpha 90.00
_cell_angle_beta 90.00
_cell_angle_gamma 90.00
loop_
_symmetry_equiv_pos_as_xyz
'x,y,z'
loop_
_atom_site_label
_atom_site_type_symbol
_atom_site_fract_x
_atom_site_fract_y
_atom_site_fract_z
Ir1 Ir 0.112 0.867 0.718
Ir2 Ir 0.888 0.282 0.867
Ir3 Ir 0.612 0.218 0.633
Ir4 Ir 0.388 0.633 0.782
Ir5 Ir 0.112 0.133 0.282
Ir6 Ir 0.612 0.782 0.367
Ir7 Ir 0.388 0.367 0.218
Ir8 Ir 0.888 0.718 0.133
Sm1 Sm 0.890 0.410 0.173
Sm2 Sm 0.110 0.173 0.590
Sm3 Sm 0.110 0.827 0.410
Sm4 Sm 0.390 0.327 0.910
Sm5 Sm 0.610 0.090 0.327
Sm6 Sm 0.610 0.910 0.673
Sm7 Sm 0.390 0.673 0.090
Sm8 Sm 0.890 0.590 0.827
Pr1 Pr 0.000 0.000 0.000
Pr2 Pr 0.500 0.500 0.500
# E_form in eV/atom: -0.55
# M_tot in μB per atom: 0.000
# N(E_F) in states/eV per cell: 9.49
# Calculated density in kg/m3: 10556
# Space-group type: P4_2/n
# Final energy in eV/atom: -7.12



# 4
# PrSm2Ir9 (PBE-GGA, optimized geometry)
data_PrSm2Ir9
_chemical_formula_sum 'Pr1 Sm2 Ir9'
_symmetry_space_group_name_H-M 'P 1'
_symmetry_Int_Tables_number 1
_cell_length_a 5.374
_cell_length_b 5.374
_cell_length_c 9.346
_cell_angle_alpha 73.29
_cell_angle_beta 73.29
_cell_angle_gamma 60.00
loop_
_symmetry_equiv_pos_as_xyz
'x,y,z'
loop_
_atom_site_label
_atom_site_type_symbol
_atom_site_fract_x
_atom_site_fract_y
_atom_site_fract_z
Ir1 Ir 0.332 0.332 0.003
Ir2 Ir 0.668 0.668 0.997
Ir3 Ir 0.420 0.916 0.244
Ir4 Ir 0.916 0.420 0.244
Ir5 Ir 0.580 0.084 0.756
Ir6 Ir 0.500 0.500 0.500
Ir7 Ir 0.084 0.580 0.756
Ir8 Ir 0.580 0.580 0.756
Ir9 Ir 0.420 0.420 0.244
Sm1 Sm 0.140 0.140 0.581
Sm2 Sm 0.860 0.860 0.419
Pr1 Pr 0.000 0.000 0.000
# E_form in eV/atom: -0.53
# M_tot in μB per atom: 0.000
# N(E_F) in states/eV per cell: 12.32
# Calculated density in kg/m3: 16356
# Space-group type: R-3m
# Final energy in eV/atom: -8.36